(1)
8
Lattice="-3.471 -2.933 0.032 3.564 -0.666 2.740 -4.053 4.866 6.454" Properties=species:S:1:pos:R:3 comment="ErSnPt2 GGA-PBE relaxed" e_tot_ev_per_atom=-6.1875 pbc="T T T"
Er 0.000 0.000 0.000
Er -3.152 0.255 4.162
Pt -1.776 -1.397 1.971
Pt -1.384 1.661 2.204
Pt -2.669 3.205 4.251
Pt -4.528 1.907 6.353
Sn 0.203 -0.202 3.455
Sn -1.818 2.225 6.674

---

(2)
9
Lattice="7.458 0.000 0.000 -3.729 6.459 0.000 0.000 0.000 4.013" Properties=species:S:1:pos:R:3 comment="ErSnPt GGA-PBE relaxed" e_tot_ev_per_atom=-5.9679 pbc="T T T"
Er 4.434 0.000 0.000
Er 1.512 2.619 0.000
Er -2.217 3.840 0.000
Pt 0.000 0.000 0.000
Pt 3.729 2.153 2.006
Pt 0.000 4.306 2.006
Sn 1.934 0.000 2.006
Sn -0.967 1.675 2.006
Sn 2.762 4.784 2.006